# Ru3PtCl (PBE, relaxed)
# **Uncorrected formation energy**: 1.167 eV per atom
# **Excess energy over the best structure of this formula in the dataset**: 0 meV per atom
data_Ru3PtCl
_chemical_formula_sum 'Ru3 Pt1 Cl1'
_symmetry_space_group_name_H-M 'P m -3 m'
_symmetry_Int_Tables_number 221
_symmetry_space_group_name_Hall '-P 4 2 3'
_cell_length_a 4.323
_cell_length_b 4.323
_cell_length_c 4.323
_cell_angle_alpha 90.00
_cell_angle_beta 90.00
_cell_angle_gamma 90.00
loop_
_atom_site_label
_atom_site_fract_x
_atom_site_fract_y
_atom_site_fract_z
Ru1 0.000 0.000 0.500
Pt1 0.500 0.500 0.500
Cl1 0.000 0.000 0.000

***

# RuPtCl2 (PBE, relaxed)
# **Uncorrected formation energy**: 0.252 eV per atom
# **Excess energy over the best structure of this formula in the dataset**: 228 meV per atom
data_RuPtCl2
_chemical_formula_sum 'Ru1 Pt1 Cl2'
_symmetry_space_group_name_H-M 'P 4 m m'
_symmetry_Int_Tables_number 99
_cell_length_a 3.041
_cell_length_b 3.041
_cell_length_c 8.325
_cell_angle_alpha 90.00
_cell_angle_beta 90.00
_cell_angle_gamma 90.00
loop_
_symmetry_equiv_pos_as_xyz
'x,y,z'
'-y,x,z'
'-x,-y,z'
'y,-x,z'
'-x,y,z'
'y,x,z'
'x,-y,z'
'-y,-x,z'
loop_
_atom_site_label
_atom_site_fract_x
_atom_site_fract_y
_atom_site_fract_z
Ru1 0.000 0.000 0.000
Pt1 0.500 0.500 0.809
Cl1 0.000 0.000 0.602
Cl2 0.500 0.500 0.187

***

# RuPtCl2 (PBE, relaxed)
# **Uncorrected formation energy**: 0.718 eV per atom
# **Excess energy over the best structure of this formula in the dataset**: 694 meV per atom
data_RuPtCl2
_chemical_formula_sum 'Ru4 Pt4 Cl8'
_symmetry_space_group_name_H-M 'I -4 2 d'
_symmetry_Int_Tables_number 122
_symmetry_space_group_name_Hall 'I -4 2bw'
_cell_length_a 6.780
_cell_length_b 6.780
_cell_length_c 6.029
_cell_angle_alpha 90.00
_cell_angle_beta 90.00
_cell_angle_gamma 90.00
loop_
_atom_site_label
_atom_site_fract_x
_atom_site_fract_y
_atom_site_fract_z
Ru1 0.000 0.000 0.000
Pt1 0.000 0.000 0.500
Cl1 0.216 0.250 0.125

***

# RuPtCl2 (PBE, relaxed)
# **Uncorrected formation energy**: 0.439 eV per atom
# **Excess energy over the best structure of this formula in the dataset**: 415 meV per atom
data_RuPtCl2
_chemical_formula_sum 'Ru3 Pt3 Cl6'
_symmetry_space_group_name_H-M 'R -3 m'
_symmetry_Int_Tables_number 166
_symmetry_space_group_name_Hall '-R 3 2"'
_cell_length_a 2.7864
_cell_length_b 2.7864
_cell_length_c 36.0518
_cell_angle_alpha 90.00
_cell_angle_beta 90.00
_cell_angle_gamma 120.00
loop_
_atom_site_label
_atom_site_fract_x
_atom_site_fract_y
_atom_site_fract_z
Ru1 0.0000 0.0000 0.0000
Pt1 0.0000 0.0000 0.5000
Cl1 0.0000 0.0000 0.0618

***

# RuPtCl2 (PBE, relaxed)
# **Uncorrected formation energy**: 0.024 eV per atom
# **Excess energy over the best structure of this formula in the dataset**: 0 meV per atom
data_RuPtCl2
_chemical_formula_sum 'Ru3 Pt3 Cl6'
_symmetry_space_group_name_H-M 'R 3 m'
_symmetry_Int_Tables_number 160
_symmetry_space_group_name_Hall 'R 3 -2"'
_cell_length_a 3.6484
_cell_length_b 3.6484
_cell_length_c 23.5717
_cell_angle_alpha 90.00
_cell_angle_beta 90.00
_cell_angle_gamma 120.00
loop_
_atom_site_label
_atom_site_fract_x
_atom_site_fract_y
_atom_site_fract_z
Ru1 0.0000 0.0000 0.0000
Pt1 0.0000 0.0000 0.2756
Cl1 0.0000 0.0000 0.5434
Cl2 0.0000 0.0000 0.7268

***

# RuPtCl2 (PBE, relaxed)
# **Uncorrected formation energy**: 0.544 eV per atom
# **Excess energy over the best structure of this formula in the dataset**: 520 meV per atom
data_RuPtCl2
_chemical_formula_sum 'Ru2 Pt2 Cl4'
_symmetry_space_group_name_H-M 'I m m 2'
_symmetry_Int_Tables_number 44
_cell_length_a 2.880
_cell_length_b 4.351
_cell_length_c 11.677
_cell_angle_alpha 90.00
_cell_angle_beta 90.00
_cell_angle_gamma 90.00
loop_
_symmetry_equiv_pos_as_xyz
'x,y,z'
'-x,-y,z'
'-x,y,z'
'x,-y,z'
'x+1/2,y+1/2,z+1/2'
'-x+1/2,-y+1/2,z+1/2'
'-x+1/2,y+1/2,z+1/2'
'x+1/2,-y+1/2,z+1/2'
loop_
_atom_site_label
_atom_site_fract_x
_atom_site_fract_y
_atom_site_fract_z
Ru1 0.000 0.000 0.000
Pt1 0.000 0.500 0.311
Cl1 0.000 0.000 0.486
Cl2 0.000 0.500 0.675

***

Values for DOS at the Fermi energy, states/eV/f.u., ordered as above
6.34, 3.18, 4.69, 4.90, 3.75, 5.83